[1]
{"formula": "KSn2BiS6", "functional": "GGA-PBE", "state": "relaxed", "e_form_raw_ev_per_atom": -0.470, "space_group": "C2/c, No. 15", "cell": [[7.435, -5.491, 0.000], [7.435, 5.491, 0.000], [-3.065, 0.000, 7.082]], "species": ["K", "K", "Sn", "Sn", "Sn", "Sn", "Bi", "Bi", "S", "S", "S", "S", "S", "S", "S", "S", "S", "S", "S", "S"], "fractional_positions": [[0.237, 0.763, 0.750], [0.763, 0.237, 0.250], [0.164, 0.353, 0.885], [0.353, 0.164, 0.385], [0.647, 0.836, 0.615], [0.836, 0.647, 0.115], [0.240, 0.760, 0.250], [0.760, 0.240, 0.750], [0.014, 0.174, 0.634], [0.043, 0.631, 0.906], [0.174, 0.014, 0.134], [0.332, 0.371, 0.675], [0.369, 0.957, 0.594], [0.371, 0.332, 0.175], [0.629, 0.668, 0.825], [0.631, 0.043, 0.406], [0.668, 0.629, 0.325], [0.826, 0.986, 0.866], [0.957, 0.369, 0.094], [0.986, 0.826, 0.366]]}

***

[2]
{"formula": "ScPRuPt2", "functional": "GGA-PBE", "state": "relaxed", "space_group": "P4/mmm, No. 123", "formation_energy_ev_per_fu": 4.24, "cell": [[4.790, 0.000, 0.000], [0.000, 4.790, 0.000], [0.000, 0.000, 4.786]], "species": ["Sc", "P", "Ru", "Pt", "Pt"], "fractional_positions": [[0.000, 0.000, 0.000], [0.500, 0.500, 0.000], [0.000, 0.000, 0.500], [0.000, 0.500, 0.500], [0.500, 0.000, 0.500]]}

***

[3]
{"formula": "ErNpSe2", "functional": "GGA-PBE", "state": "relaxed", "e_form_raw_ev_per_atom": -1.398, "space_group": "R-3m, No. 166", "e_above_lowest_polymorph_ev_per_atom": 0.000, "cell": [[2.029, 1.172, 6.676], [-2.029, 1.172, 6.676], [0.000, -2.343, 6.676]], "species": ["Er", "Np", "Se", "Se"], "fractional_positions": [[0.000, 0.000, 0.000], [0.500, 0.500, 0.500], [0.252, 0.252, 0.252], [0.748, 0.748, 0.748]]}

***

[4]
{"formula": "Fe2Ni2Pb", "functional": "GGA-PBE", "state": "relaxed", "space_group": "P4/mbm, No. 127", "formation_energy_ev_per_fu": 1.50, "e_above_lowest_polymorph_ev_per_atom": 0.000, "cell": [[6.991, 0.000, 0.000], [0.000, 6.991, 0.000], [0.000, 0.000, 2.964]], "species": ["Fe", "Fe", "Fe", "Fe", "Ni", "Ni", "Ni", "Ni", "Pb", "Pb"], "fractional_positions": [[0.158, 0.342, 0.000], [0.342, 0.842, 0.000], [0.658, 0.158, 0.000], [0.842, 0.658, 0.000], [0.127, 0.627, 0.500], [0.373, 0.127, 0.500], [0.627, 0.873, 0.500], [0.873, 0.373, 0.500], [0.000, 0.000, 0.500], [0.500, 0.500, 0.500]]}

***

[5]
{"formula": "Ac2HSe", "functional": "GGA-PBE", "state": "relaxed", "space_group": "R3m, No. 160", "e_above_lowest_polymorph_ev_per_atom": 0.072, "cell": [[2.092, 1.208, 8.204], [-2.092, 1.208, 8.204], [0.000, -2.415, 8.204]], "species": ["Ac", "Ac", "H", "Se"], "fractional_positions": [[0.000, 0.000, 0.000], [0.169, 0.169, 0.169], [0.820, 0.820, 0.820], [0.583, 0.583, 0.583]]}

***

[6]
{"formula": "MgSi2Ru", "functional": "GGA-PBE", "state": "relaxed", "e_form_raw_ev_per_atom": -0.048, "space_group": "I-4m2, No. 119", "cell": [[-1.889, 1.889, 3.956], [1.889, -1.889, 3.956], [1.889, 1.889, -3.956]], "species": ["Mg", "Si", "Si", "Ru"], "fractional_positions": [[0.000, 0.000, 0.000], [0.500, 0.500, 0.000], [0.750, 0.250, 0.500], [0.250, 0.750, 0.500]]}

***

Record-wise uncorrected energy values, in eV per atom: -4.245, -5.771, -7.517, -6.139, -4.671, -5.477